1.
Here is a relaxed structure of BaTaBe from Alexandria via LeMat-Bulk. Energies are from GGA-PBE.

Values from the calculation:
The value obtained for the formation energy is 1.52 eV/atom. The total DFT energy (no corrections) comes out at -12.947 eV/f.u. The energy relative to the lowest polymorph listed for this composition comes out at 17.64 kcal/mol of atoms. Its symmetry is No. 216.

Cell: 4.7376 4.7376 4.7376 Å, 60.00 60.00 60.00°
Sites, in units of the cell vectors:
Be: 0.7500 0.7500 0.7500
Ba: 0.5000 0.5000 0.5000
Ta: 0.0000 0.0000 0.0000


2.
Here is a relaxed structure of AlOs2Pt from Alexandria via LeMat-Bulk. Energies are from GGA-PBE.

Values from the calculation:
The value obtained for the formation energy is 0.34 eV/atom. The total DFT energy (no corrections) comes out at -30.902 eV/f.u. Its symmetry is No. 122.

Cell: 3.6896 3.6896 9.7726 Å, 79.12 79.12 90.00°
Sites, in units of the cell vectors:
Al: 0.2500 0.7500 0.5000
Os: 0.3750 0.4025 0.7500
Al: 0.5000 0.5000 0.0000
Pt: 0.0000 0.0000 0.0000
Os: 0.1525 0.6250 0.2500
Os: 0.8750 0.8475 0.7500
Pt: 0.7500 0.2500 0.5000
Os: 0.5975 0.1250 0.2500


3.
Here is a relaxed structure of Ac2Ni2Sn from Alexandria via LeMat-Bulk. Energies are from GGA-PBE.

Values from the calculation:
The value obtained for the formation energy is -0.43 eV/atom. The total DFT energy (no corrections) comes out at -25.940 eV/f.u. The energy relative to the lowest polymorph listed for this composition comes out at 0.28 kcal/mol of atoms. Its symmetry is No. 127.

Cell: 4.1479 7.7520 7.7520 Å, 90.00 90.00 90.00°
Sites, in units of the cell vectors:
Ni: 0.0000 0.8856 0.6144
Ac: 0.5000 0.1812 0.6812
Ac: 0.5000 0.8188 0.3188
Ni: 0.0000 0.6144 0.1144
Ni: 0.0000 0.1144 0.3856
Sn: 0.0000 0.0000 0.0000
Sn: 0.0000 0.5000 0.5000
Ni: 0.0000 0.3856 0.8856
Ac: 0.5000 0.6812 0.8188
Ac: 0.5000 0.3188 0.1812


4.
Here is a relaxed structure of La3CoHg from Alexandria via LeMat-Bulk. Energies are from GGA-PBE.

Values from the calculation:
The value obtained for the formation energy is -0.21 eV/atom. The total DFT energy (no corrections) comes out at -23.261 eV/f.u. The energy relative to the lowest polymorph listed for this composition comes out at 0.98 kcal/mol of atoms. Its symmetry is No. 221.

Cell: 5.3230 5.3230 5.3230 Å, 90.00 90.00 90.00°
Sites, in units of the cell vectors:
Hg: 0.5000 0.5000 0.5000
La: 0.5000 0.0000 0.0000
La: 0.0000 0.0000 0.5000
La: 0.0000 0.5000 0.0000
Co: 0.0000 0.0000 0.0000


The records above yield volume values of 75; 128; 249; 151 Å³ per cell, respectively.